Here is a geometry-optimized Cr4As5 structure from the Alexandria database. Energies are from PBE-GGA.

Cell: 9.4287 9.4287 3.1030 Å, 90.00 90.00 90.00°
Space group I4/mmm (No. 139)
Unique sites:
Cr 0.0000 0.3567 0.0000 [8 per cell]
As 0.0000 0.0000 0.0000 [2 per cell]
As 0.1723 0.1723 0.5000 [8 per cell]

Summary:
Relative energy among the computed polymorphs ... 369 meV per atom
Formation energy from the elements ... 0.487 eV/atom
Density ... 7.01 g/cm3
E ... -6.373 eV/atom